DFT (PBE) results for a geometry-optimized InAg2Os structure.

Geometry as POSCAR:
```
InAg2Os
1.0
3.343 0.000 0.000
0.000 3.343 0.000
0.000 0.000 6.308
In Ag Os
1 2 1
direct
0.000 0.000 0.000
0.000 0.000 0.477
0.500 0.500 0.721
0.500 0.500 0.224
```

Properties
Symmetry: No. 99
Total magnetization: 0.000 μB per formula unit
E_tot: -4.40 eV per atom